A plane-wave DFT calculation with PBE-GGA was carried out for a relaxed structure of Pm2Nd4Ho5.

a = 12.5788 Å, b = 12.5788 Å, c = 12.5788 Å
α = 163.89°, β = 136.82°, γ = 46.37°
Closest atoms and distances in Å follow each position.
Positions (direct):
Pm: 0.2308 0.2308 0.0000  1 Nd 3.12, 2 Ho 3.40
Pm: 0.7692 0.7692 0.0000  1 Nd 3.12, 2 Ho 3.40
Nd: 0.0961 0.0961 0.0000  1 Pm 3.12, 4 Nd 3.41
Nd: 0.2047 0.5000 0.7047  4 Ho 3.25-3.47, 6 Nd 3.41-3.52
Nd: 0.7953 0.5000 0.2953  4 Ho 3.25-3.47, 6 Nd 3.41-3.52
Nd: 0.9039 0.9039 0.0000  1 Pm 3.12, 4 Nd 3.41
Ho: 0.1599 0.3552 0.8047  1 Pm 3.40, 3 Nd 3.47-3.51, 3 Ho 3.52-3.62
Ho: 0.4495 0.6448 0.8047  1 Pm 3.40, 3 Nd 3.47-3.51, 3 Ho 3.52-3.62
Ho: 0.5000 0.0000 0.5000  4 Nd 3.25, 2 Ho 3.52
Ho: 0.5505 0.3552 0.1953  1 Pm 3.40, 3 Nd 3.47-3.51, 3 Ho 3.52-3.62
Ho: 0.8401 0.6448 0.1953  1 Pm 3.40, 3 Nd 3.47-3.51, 3 Ho 3.52-3.62

Output
Total DFT energy (no corrections), eV per atom: -4.42
Offset from the most stable computed form, meV/atom: 153.1
Calculated density, g/cm3: 7.446
M_tot, μB/atom: 0.0001
ΔH_f (0 K), eV/atom: 0.26